Below is an optimized crystal structure of ErMnOs, with properties calculated at the PBE level.

Results
Energy relative to the elements = -0.25 eV/atom
Energy above the most stable polymorph in this dataset = 0 meV/atom
Volume = 103.5 Å³/cell
SG = Imma

Cell lengths 5.2806, 5.2806, 5.2806 Å; angles 89.33, 120.88, 119.89 degrees
Fractional positions:
Er: 0.2500 0.1271 0.8771
Er: 0.7500 0.8729 0.1229
Mn: 0.0000 0.5000 0.5000
Mn: 0.5000 0.0000 0.5000
Os: 0.5000 0.5000 0.5000
Os: 0.0000 0.5000 0.0000